Entry 1:
# Ac3Hg2Rh

A geometry-optimized Ac3Hg2Rh structure (PBE-GGA, the Alexandria database).

Lattice parameters (Å, degrees): 4.209 6.346 15.372 90.00 90.00 90.00
Space group Immm (No. 71)
Inequivalent atoms, fractional coordinates:
Ac (0.000, 0.000, 0.000) (multiplicity 2)
Ac (0.000, 0.000, 0.366) (multiplicity 4)
Hg (0.000, 0.500, 0.312) (multiplicity 4)
Rh (0.000, 0.500, 0.000) (multiplicity 2)

The value obtained for the energy of formation is -0.511 eV per atom. For the total magnetic moment, the calculation gives 0.00 μB/cell. The value obtained for the uncorrected energy is -3.89 eV per atom. The energy above the lowest structure with this stoichiometry comes out at 0.0101 eV/atom. The crystal system is orthorhombic.

Entry 2:
# Ac11Hg9Rh4

A geometry-optimized Ac11Hg9Rh4 structure (PBE-GGA, the Alexandria database).

Lattice parameters (Å, degrees): 15.448 23.151 4.026 90.00 90.00 90.00
Space group Cmmm (No. 65)
Inequivalent atoms, fractional coordinates:
Ac (0.000, 0.000, 0.000) (multiplicity 2)
Ac (0.000, 0.167, 0.000) (multiplicity 4)
Ac (0.000, 0.374, 0.000) (multiplicity 4)
Ac (0.193, 0.500, 0.000) (multiplicity 4)
Ac (0.250, 0.167, 0.000) (multiplicity 8)
Hg (0.000, 0.500, 0.500) (multiplicity 2)
Hg (0.106, 0.263, 0.500) (multiplicity 8)
Hg (0.140, 0.074, 0.500) (multiplicity 8)
Rh (0.149, 0.400, 0.500) (multiplicity 8)

The value obtained for the energy of formation is -0.569 eV per atom. For the total magnetic moment, the calculation gives 0.00 μB/cell. The value obtained for the uncorrected energy is -3.79 eV per atom. The crystal system is orthorhombic.

Entry 3:
# Ac3Hg2Rh3

A geometry-optimized Ac3Hg2Rh3 structure (PBE-GGA, the Alexandria database).

Lattice parameters (Å, degrees): 8.7832 8.7832 6.1564 90.00 90.00 120.00
Space group P6_3/mcm (No. 193)
Inequivalent atoms, fractional coordinates:
Ac (0.0000, 0.2853, 0.2500) (multiplicity 6)
Hg (0.3333, 0.6667, 0.0000) (multiplicity 4)
Rh (0.0000, 0.3812, 0.7500) (multiplicity 6)

The value obtained for the energy of formation is -0.452 eV per atom. For the total magnetic moment, the calculation gives 0.00 μB/cell. The value obtained for the uncorrected energy is -4.82 eV per atom. The energy above the lowest structure with this stoichiometry comes out at 0.0862 eV/atom. The crystal system is hexagonal.

Entry 4:
# Ac3Hg2Rh7

A geometry-optimized Ac3Hg2Rh7 structure (PBE-GGA, the Alexandria database).

Lattice parameters (Å, degrees): 5.6462 5.6462 26.6680 90.00 90.00 120.00
Space group R-3m (No. 166, hexagonal axes)
Inequivalent atoms, fractional coordinates:
Ac (0.0000, 0.0000, 0.0000) (multiplicity 3)
Ac (0.0000, 0.0000, 0.1386) (multiplicity 6)
Hg (0.0000, 0.0000, 0.3340) (multiplicity 6)
Rh (0.0000, 0.0000, 0.5000) (multiplicity 3)
Rh (0.0030, 0.5015, 0.9135) (multiplicity 18)

The value obtained for the energy of formation is -0.442 eV per atom. For the total magnetic moment, the calculation gives 0.00 μB/cell. The value obtained for the uncorrected energy is -5.81 eV per atom. The crystal system is trigonal.

Entry 5:
# Ac3Hg9Rh2

A geometry-optimized Ac3Hg9Rh2 structure (PBE-GGA, the Alexandria database).

Lattice parameters (Å, degrees): 5.037 10.591 13.344 90.00 90.00 90.00
Space group Immm (No. 71)
Inequivalent atoms, fractional coordinates:
Ac (0.000, 0.000, 0.000) (multiplicity 2)
Ac (0.000, 0.000, 0.310) (multiplicity 4)
Hg (0.000, 0.281, 0.133) (multiplicity 8)
Hg (0.000, 0.360, 0.359) (multiplicity 8)
Hg (0.000, 0.500, 0.000) (multiplicity 2)
Rh (0.000, 0.145, 0.500) (multiplicity 4)

The value obtained for the energy of formation is -0.317 eV per atom. For the total magnetic moment, the calculation gives 0.00 μB/cell. The value obtained for the uncorrected energy is -2.44 eV per atom. The crystal system is orthorhombic.

Entry 6:
# AcHg2Rh

A geometry-optimized AcHg2Rh structure (PBE-GGA, the Alexandria database).

Lattice parameters (Å, degrees): 4.323 8.671 5.643 90.00 112.45 90.00
Space group P2_1/m (No. 11)
Inequivalent atoms, fractional coordinates:
Ac (0.070, 0.250, 0.138) (multiplicity 2)
Hg (0.357, 0.050, 0.714) (multiplicity 4)
Rh (0.218, 0.750, 0.438) (multiplicity 2)

The value obtained for the energy of formation is -0.469 eV per atom. For the total magnetic moment, the calculation gives 0.00 μB/cell. The value obtained for the uncorrected energy is -3.48 eV per atom. The energy above the lowest structure with this stoichiometry comes out at 0.0000 eV/atom. The crystal system is monoclinic.